Entry 1:
The following is a GGA-PBE calculation of a geometry-optimized Sc2BiPt9 structure, from Alexandria.

Cell and atoms, written as POSCAR:
```
Sc2BiPt9
1.0
-1.6522 1.1017 -3.5282
3.4925 -0.7999 -1.8853
-3.6633 -11.5426 -1.8889
Sc Bi Pt
2 1 9
Direct
0.0000 0.0000 0.3408
0.0000 0.0000 0.6592
0.0000 0.0000 0.0000
0.5000 0.5000 0.0000
0.5000 0.5000 0.3374
0.5000 0.5000 0.6626
0.5000 0.0000 0.1782
0.5000 0.0000 0.5000
0.5000 0.0000 0.8218
0.0000 0.5000 0.1782
0.0000 0.5000 0.5000
0.0000 0.5000 0.8218
```

Values from the calculation:
Formation energy in eV/atom: -0.733



Entry 2:
The following is a GGA-PBE calculation of a geometry-optimized Sc2BiPt2 structure, from Alexandria.

Cell and atoms, written as POSCAR:
```
Sc2BiPt2
1.0
-1.7345 -0.3391 -3.4891
-0.8436 -3.7381 0.7826
-7.6774 0.0259 1.6218
Sc Bi Pt
2 1 2
Direct
0.3757 0.3757 0.2486
0.6243 0.6243 0.7514
0.0000 0.0000 0.0000
0.7500 0.2500 0.5000
0.2500 0.7500 0.5000
```

Values from the calculation:
Formation energy in eV/atom: -0.781
Offset from the most stable computed form in kJ/mol of formula units: 110



Entry 3:
The following is a GGA-PBE calculation of a geometry-optimized ScBi2Pt structure, from Alexandria.

Cell and atoms, written as POSCAR:
```
ScBi2Pt
1.0
3.6400 0.0000 0.0000
1.8200 3.1524 0.0000
1.8200 1.0508 9.7086
Sc Bi Pt
1 2 1
Direct
0.0000 0.0000 0.0000
0.1025 0.1025 0.6924
0.8975 0.8975 0.3076
0.5000 0.5000 0.5000
```

Values from the calculation:
Formation energy in eV/atom: 0.037
Offset from the most stable computed form in kJ/mol of formula units: 87



Entry 4:
The following is a GGA-PBE calculation of a geometry-optimized ScBi2Pt structure, from Alexandria.

Cell and atoms, written as POSCAR:
```
ScBi2Pt
1.0
0.0000 3.6054 3.6054
3.6054 0.0000 3.6054
3.6054 3.6054 0.0000
Sc Bi Pt
1 2 1
Direct
0.0000 0.0000 0.0000
0.2500 0.2500 0.2500
0.7500 0.7500 0.7500
0.5000 0.5000 0.5000
```

Values from the calculation:
Formation energy in eV/atom: -0.164
Offset from the most stable computed form in kJ/mol of formula units: 10



Entry 5:
The following is a GGA-PBE calculation of a geometry-optimized Sc2BiPt structure, from Alexandria.

Cell and atoms, written as POSCAR:
```
Sc2BiPt
1.0
5.7371 0.0000 0.0000
0.0000 5.7371 0.0000
2.8685 2.8685 7.4647
Sc Bi Pt
4 2 2
Direct
0.5743 0.1250 0.2500
0.1757 0.6250 0.2500
0.3750 0.4257 0.7500
0.8750 0.8243 0.7500
0.0000 0.0000 0.0000
0.7500 0.2500 0.5000
0.5000 0.5000 0.0000
0.2500 0.7500 0.5000
```

Values from the calculation:
Formation energy in eV/atom: -0.274



Entry 6:
The following is a GGA-PBE calculation of a geometry-optimized ScBiPt3 structure, from Alexandria.

Cell and atoms, written as POSCAR:
```
ScBiPt3
1.0
-2.5163 1.3765 3.9322
-4.1057 -1.5990 -2.0675
0.7072 -4.3860 1.9878
Sc Bi Pt
1 1 3
Direct
0.0000 0.0000 0.0000
0.5000 0.5000 0.5000
0.0000 0.5000 0.0000
0.0000 0.0000 0.5000
0.5000 0.0000 0.0000
```

Values from the calculation:
Formation energy in eV/atom: 0.283
Offset from the most stable computed form in kJ/mol of formula units: 0



Entry 7:
The following is a GGA-PBE calculation of a geometry-optimized Sc2BiPt structure, from Alexandria.

Cell and atoms, written as POSCAR:
```
Sc2BiPt
1.0
3.4197 0.0000 0.0000
0.0000 3.4197 0.0000
0.0000 0.0000 7.5522
Sc Bi Pt
2 1 1
Direct
0.0000 0.0000 0.7948
0.0000 0.0000 0.2052
0.5000 0.5000 0.5000
0.5000 0.5000 0.0000
```

Values from the calculation:
Formation energy in eV/atom: -0.780



Entry 8:
The following is a GGA-PBE calculation of a geometry-optimized Sc2BiPt structure, from Alexandria.

Cell and atoms, written as POSCAR:
```
Sc2BiPt
1.0
1.5391 8.6726 2.6764
5.0334 7.5021 1.7688
2.6882 8.7542 -0.9398
Sc Bi Pt
2 1 1
Direct
0.8879 0.8879 0.8879
0.1121 0.1121 0.1121
0.0000 0.0000 0.0000
0.5000 0.5000 0.5000
```

Values from the calculation:
Formation energy in eV/atom: -0.514